Entry 1:
Entry from Alexandria: a geometry-optimized LiYAlGa2 structure (PBE-GGA).

```
5
Lattice="4.1249 0.0000 0.0000 0.0000 4.1249 0.0000 -2.0625 -2.0625 5.5550" Properties=species:S:1:pos:R:3 pbc="T T T"
Li 2.0625 0.0000 2.7775
Y 0.0000 0.0000 0.0000
Al 0.0000 2.0625 2.7775
Ga 2.0625 2.0625 1.2282
Ga 0.0000 0.0000 4.3267
```

Output
SG: I-4m2, No. 119


Entry 2:
Entry from Alexandria: a geometry-optimized Li2YAl2Ga2 structure (PBE-GGA).

```
7
Lattice="4.3269 0.0000 0.0000 -2.1634 3.7447 -0.2804 0.0000 -1.8870 7.8945" Properties=species:S:1:pos:R:3 pbc="T T T"
Li 0.0000 0.2578 3.3228
Li 2.1635 1.5999 4.2913
Y 0.0000 0.0000 0.0000
Al 2.1634 -0.8163 5.4711
Al 0.0000 2.6740 2.1430
Ga 2.1635 1.3760 1.5823
Ga 0.0000 0.4817 6.0317
```

Output
SG: C2/m, No. 12


Entry 3:
Entry from Alexandria: a geometry-optimized LiAlZn2Ga4 structure (PBE-GGA).

```
16
Lattice="7.6855 -0.2743 1.1925 -0.2797 7.6853 1.1925 -2.7993 -2.8013 4.0966" Properties=species:S:1:pos:R:3 pbc="T T T"
Li 2.3032 2.3049 3.2408
Li 4.8861 -3.0755 5.2891
Al -0.1398 3.8426 0.5963
Al 6.1459 2.1677 3.8370
Zn 3.8427 -0.1371 0.5963
Zn 2.4431 -1.5378 2.6446
Zn -1.3996 -1.4006 2.0483
Zn 3.7029 3.7055 1.1925
Ga -0.9183 2.7822 5.2756
Ga 4.4065 0.1457 3.2543
Ga 0.1999 4.4639 3.2273
Ga 5.5249 1.8275 1.2061
Ga 5.5788 5.5267 1.7906
Ga 4.1862 4.1332 3.8352
Ga 0.4203 0.4766 2.6464
Ga -0.9724 -0.9170 4.6910
```

Output
SG: C2/c, No. 15


Entry 4:
Entry from Alexandria: a geometry-optimized LiAlZnGa structure (PBE-GGA).

```
4
Lattice="-0.7286 -1.0977 3.6114 2.4627 -3.1467 -0.4596 3.1088 2.2419 1.3087" Properties=species:S:1:pos:R:3 pbc="T T T"
Li 0.0000 0.0000 0.0000
Al 2.7857 -0.4524 0.4245
Zn 0.8670 -2.1222 1.5759
Ga 1.1901 0.5721 2.4600
```

Output
SG: Pmmm, No. 47


no.,E_form (meV per atom)
1,-483
2,-412
3,52
4,-148